Entry 1:
Below is crystalline ThNp6S8 at its relaxed geometry, with properties calculated at the PBE-GGA level.

a b c (Å): 7.8261 7.8261 7.8261
angles (deg): 60.00 60.00 60.00
With the nearest neighbours (Å) after each atom.
Positions (direct):
Th: 0.0000 0.0000 0.0000  6 S 2.85
Np: 0.0000 0.0000 0.5000  6 S 2.77
Np: 0.0000 0.5000 0.0000  6 S 2.77
Np: 0.0000 0.5000 0.5000  6 S 2.77
Np: 0.5000 0.0000 0.0000  6 S 2.77
Np: 0.5000 0.0000 0.5000  6 S 2.77
Np: 0.5000 0.5000 0.0000  6 S 2.77
S: 0.2500 0.2500 0.2500  6 Np 2.77
S: 0.2578 0.2578 0.7422  4 Np 2.77, 1 Th 2.85
S: 0.2578 0.7422 0.2578  4 Np 2.77, 1 Th 2.85
S: 0.2578 0.7422 0.7422  4 Np 2.77, 1 Th 2.85
S: 0.7422 0.2578 0.2578  4 Np 2.77, 1 Th 2.85
S: 0.7422 0.2578 0.7422  4 Np 2.77, 1 Th 2.85
S: 0.7422 0.7422 0.2578  4 Np 2.77, 1 Th 2.85
S: 0.7500 0.7500 0.7500  6 Np 2.77


Entry 2:
Below is crystalline ThNpS2 at its relaxed geometry, with properties calculated at the PBE-GGA level.

a b c (Å): 6.8973 6.8973 6.8973
angles (deg): 33.43 33.43 33.43
With the nearest neighbours (Å) after each atom.
Positions (direct):
Th: 0.0000 0.0000 0.0000  6 S 2.86
Np: 0.5000 0.5000 0.5000  6 S 2.76
S: 0.2452 0.2452 0.2452  3 Np 2.76, 3 Th 2.86
S: 0.7548 0.7548 0.7548  3 Np 2.76, 3 Th 2.86


Entry 3:
Below is crystalline ThNp2S4 at its relaxed geometry, with properties calculated at the PBE-GGA level.

a b c (Å): 6.7699 6.7699 12.9708
angles (deg): 90.00 90.00 146.48
With the nearest neighbours (Å) after each atom.
Positions (direct):
Th: 0.1229 0.8771 0.7500  6 S 2.81-2.88
Th: 0.8771 0.1229 0.2500  6 S 2.81-2.88
Np: 0.3670 0.6330 0.5645  6 S 2.73-2.76
Np: 0.3670 0.6330 0.9355  6 S 2.73-2.76
Np: 0.6330 0.3670 0.0645  6 S 2.73-2.76
Np: 0.6330 0.3670 0.4355  6 S 2.73-2.76
S: 0.0000 0.0000 0.0000  4 Np 2.74
S: 0.0000 0.0000 0.5000  4 Np 2.74
S: 0.2708 0.7292 0.1254  3 Np 2.76, 2 Th 2.88
S: 0.2708 0.7292 0.3746  3 Np 2.76, 2 Th 2.88
S: 0.4667 0.5333 0.7500  2 Np 2.73, 2 Th 2.81
S: 0.5333 0.4667 0.2500  2 Np 2.73, 2 Th 2.81
S: 0.7292 0.2708 0.6254  3 Np 2.76, 2 Th 2.88
S: 0.7292 0.2708 0.8746  3 Np 2.76, 2 Th 2.88


Entry 4:
Below is crystalline ThNp2S3 at its relaxed geometry, with properties calculated at the PBE-GGA level.

a b c (Å): 6.8451 6.8451 6.8234
angles (deg): 99.61 99.61 119.76
With the nearest neighbours (Å) after each atom.
Positions (direct):
Th: 0.1650 0.8350 0.0000  6 S 2.84-2.85
Th: 0.8350 0.1650 0.0000  6 S 2.84-2.85
Np: 0.0000 0.0000 0.5000  6 S 2.76-2.81
Np: 0.3309 0.6691 0.5000  6 S 2.74-2.78
Np: 0.5000 0.5000 0.0000  6 S 2.78-2.79
Np: 0.6691 0.3309 0.5000  6 S 2.74-2.78
S: 0.0886 0.4167 0.7425  4 Np 2.74-2.79, 2 Th 2.84-2.85
S: 0.2631 0.2631 0.2605  4 Np 2.75-2.81, 2 Th 2.85
S: 0.4167 0.0886 0.7425  4 Np 2.74-2.79, 2 Th 2.84-2.85
S: 0.5833 0.9114 0.2575  4 Np 2.74-2.79, 2 Th 2.84-2.85
S: 0.7369 0.7369 0.7395  4 Np 2.75-2.81, 2 Th 2.85
S: 0.9114 0.5833 0.2575  4 Np 2.74-2.79, 2 Th 2.84-2.85


Entry 5:
Below is crystalline ThNp3S4 at its relaxed geometry, with properties calculated at the PBE-GGA level.

a b c (Å): 6.8191 6.8191 3.9392
angles (deg): 90.00 90.00 109.56
With the nearest neighbours (Å) after each atom.
Positions (direct):
Th: 0.0000 0.0000 0.0000  6 S 2.85-2.86
Np: 0.0000 0.5000 0.5000  6 S 2.78-2.79
Np: 0.5000 0.0000 0.5000  6 S 2.78-2.79
Np: 0.5000 0.5000 0.0000  6 S 2.71-2.72
S: 0.2565 0.7435 0.0000  5 Np 2.71-2.78, 1 Th 2.86
S: 0.2611 0.2611 0.5000  4 Np 2.72-2.79, 2 Th 2.85
S: 0.7389 0.7389 0.5000  4 Np 2.72-2.79, 2 Th 2.85
S: 0.7435 0.2565 0.0000  5 Np 2.71-2.78, 1 Th 2.86


Entry 6:
Below is crystalline Th3Np5S12 at its relaxed geometry, with properties calculated at the PBE-GGA level.

a b c (Å): 14.0088 14.0088 14.0088
angles (deg): 109.47 109.47 109.47
With the nearest neighbours (Å) after each atom.
Positions (direct):
Th: 0.1250 0.2500 0.3750  8 S 2.91-3.07
Th: 0.1250 0.3750 0.7500  8 S 2.91-3.07
Th: 0.2500 0.3750 0.1250  8 S 2.91-3.07
Th: 0.2500 0.8750 0.6250  8 S 2.91-3.07
Th: 0.3750 0.1250 0.2500  8 S 2.91-3.07
Th: 0.3750 0.7500 0.1250  8 S 2.91-3.07
Th: 0.6250 0.2500 0.8750  8 S 2.91-3.07
Th: 0.6250 0.8750 0.7500  8 S 2.91-3.07
Th: 0.7500 0.1250 0.3750  8 S 2.91-3.07
Th: 0.7500 0.6250 0.8750  8 S 2.91-3.07
Th: 0.8750 0.6250 0.2500  8 S 2.91-3.07
Th: 0.8750 0.7500 0.6250  8 S 2.91-3.07
Np: 0.0000 0.0000 0.0000  6 S 2.75
Np: 0.0000 0.0000 0.5000  6 S 2.75
Np: 0.0000 0.5000 0.0000  6 S 2.75
Np: 0.0000 0.5000 0.5000  6 S 2.75
Np: 0.1250 0.7500 0.8750  4 S 2.60
Np: 0.1250 0.8750 0.2500  4 S 2.60
Np: 0.2500 0.1250 0.8750  4 S 2.60
Np: 0.2500 0.6250 0.3750  4 S 2.60
Np: 0.3750 0.2500 0.6250  4 S 2.60
Np: 0.3750 0.6250 0.7500  4 S 2.60
Np: 0.5000 0.0000 0.0000  6 S 2.75
Np: 0.5000 0.0000 0.5000  6 S 2.75
Np: 0.5000 0.5000 0.0000  6 S 2.75
Np: 0.5000 0.5000 0.5000  6 S 2.75
Np: 0.6250 0.3750 0.2500  4 S 2.60
Np: 0.6250 0.7500 0.3750  4 S 2.60
Np: 0.7500 0.3750 0.6250  4 S 2.60
Np: 0.7500 0.8750 0.1250  4 S 2.60
Np: 0.8750 0.1250 0.7500  4 S 2.60
Np: 0.8750 0.2500 0.1250  4 S 2.60
S: 0.0528 0.2253 0.1321  2 Np 2.60-2.75
S: 0.0528 0.3275 0.9208  2 Np 2.60-2.75
S: 0.0792 0.6321 0.4068  2 Np 2.60-2.75
S: 0.0792 0.9472 0.6725  2 Np 2.60-2.75
S: 0.0932 0.7253 0.6725  2 Np 2.60-2.75
S: 0.0932 0.8679 0.4208  2 Np 2.60-2.75
S: 0.1321 0.0528 0.2253  2 Np 2.60-2.75
S: 0.1321 0.5792 0.9068  2 Np 2.60-2.75
S: 0.1725 0.2253 0.5932  2 Np 2.60-2.75
S: 0.1725 0.4472 0.5792  2 Np 2.60-2.75
S: 0.2253 0.1321 0.0528  2 Np 2.60-2.75
S: 0.2253 0.5932 0.1725  2 Np 2.60-2.75
S: 0.2747 0.3275 0.9068  2 Np 2.60-2.75
S: 0.2747 0.4472 0.3679  2 Np 2.60-2.75
S: 0.3275 0.9068 0.2747  2 Np 2.60-2.75
S: 0.3275 0.9208 0.0528  2 Np 2.60-2.75
S: 0.3679 0.2747 0.4472  2 Np 2.60-2.75
S: 0.3679 0.5932 0.9208  2 Np 2.60-2.75
S: 0.4068 0.0792 0.6321  2 Np 2.60-2.75
S: 0.4068 0.8275 0.7747  2 Np 2.60-2.75
S: 0.4208 0.0932 0.8679  2 Np 2.60-2.75
S: 0.4208 0.8275 0.5528  2 Np 2.60-2.75
S: 0.4472 0.3679 0.2747  2 Np 2.60-2.75
S: 0.4472 0.5792 0.1725  2 Np 2.60-2.75
S: 0.5528 0.4208 0.8275  2 Np 2.60-2.75
S: 0.5528 0.6321 0.7253  2 Np 2.60-2.75
S: 0.5792 0.1725 0.4472  2 Np 2.60-2.75
S: 0.5792 0.9068 0.1321  2 Np 2.60-2.75
S: 0.5932 0.1725 0.2253  2 Np 2.60-2.75
S: 0.5932 0.9208 0.3679  2 Np 2.60-2.75
S: 0.6321 0.4068 0.0792  2 Np 2.60-2.75
S: 0.6321 0.7253 0.5528  2 Np 2.60-2.75
S: 0.6725 0.0792 0.9472  2 Np 2.60-2.75
S: 0.6725 0.0932 0.7253  2 Np 2.60-2.75
S: 0.7253 0.5528 0.6321  2 Np 2.60-2.75
S: 0.7253 0.6725 0.0932  2 Np 2.60-2.75
S: 0.7747 0.4068 0.8275  2 Np 2.60-2.75
S: 0.7747 0.8679 0.9472  2 Np 2.60-2.75
S: 0.8275 0.5528 0.4208  2 Np 2.60-2.75
S: 0.8275 0.7747 0.4068  2 Np 2.60-2.75
S: 0.8679 0.4208 0.0932  2 Np 2.60-2.75
S: 0.8679 0.9472 0.7747  2 Np 2.60-2.75
S: 0.9068 0.1321 0.5792  2 Np 2.60-2.75
S: 0.9068 0.2747 0.3275  2 Np 2.60-2.75
S: 0.9208 0.0528 0.3275  2 Np 2.60-2.75
S: 0.9208 0.3679 0.5932  2 Np 2.60-2.75
S: 0.9472 0.6725 0.0792  2 Np 2.60-2.75
S: 0.9472 0.7747 0.8679  2 Np 2.60-2.75


Entry 7:
Below is crystalline Np2Ti3S8 at its relaxed geometry, with properties calculated at the PBE-GGA level.

a b c (Å): 7.5367 7.5367 6.1668
angles (deg): 105.66 105.66 56.06
With the nearest neighbours (Å) after each atom.
Positions (direct):
Np: 0.2482 0.2482 0.3218  6 S 2.69-2.75
Np: 0.7518 0.7518 0.6782  6 S 2.69-2.75
Ti: 0.0000 0.0000 0.5000  6 S 2.45-2.47
Ti: 0.2586 0.7414 0.0000  6 S 2.41-2.52
Ti: 0.7414 0.2586 0.0000  6 S 2.41-2.52
S: 0.1087 0.1087 0.9007  3 Ti 2.45-2.52, 1 Np 2.69
S: 0.1388 0.6410 0.5928  2 Ti 2.47-2.49, 2 Np 2.71-2.75
S: 0.3590 0.8612 0.4072  2 Ti 2.47-2.49, 2 Np 2.71-2.75
S: 0.3903 0.3903 0.0849  2 Ti 2.41
S: 0.6097 0.6097 0.9151  2 Ti 2.41
S: 0.6410 0.1388 0.5928  2 Ti 2.47-2.49, 2 Np 2.71-2.75
S: 0.8612 0.3590 0.4072  2 Ti 2.47-2.49, 2 Np 2.71-2.75
S: 0.8913 0.8913 0.0993  3 Ti 2.45-2.52, 1 Np 2.69


Entry 8:
Below is crystalline NpTiS2 at its relaxed geometry, with properties calculated at the PBE-GGA level.

a b c (Å): 6.7811 6.7811 6.7811
angles (deg): 30.82 30.82 30.82
With the nearest neighbours (Å) after each atom.
Positions (direct):
Np: 0.0000 0.0000 0.0000  6 S 2.71-2.82
Ti: 0.8232 0.8232 0.8232  6 S 2.45-2.57
S: 0.2347 0.2347 0.2347  3 Ti 2.57, 3 Np 2.82
S: 0.4231 0.4231 0.4231  3 Ti 2.45, 3 Np 2.71

Output
As for the energy above the lowest structure with this stoichiometry: 0.042 eV per atom.


Energy relative to the elements, uncorrected for every record listed, in sequence, given in eV/atom: -1.432; -1.632; -1.536; -1.523; -1.500; -1.329; -1.325; -1.269.